First-principles (PBEsol) data for a relaxed AlMo crystal, as listed in the Alexandria database.

mass density	6948	kg/m³
electronic total energy	-0.5963	Ry/atom
crystal system	cubic
ΔE_f	-0.37	eV/f.u.
space-group type	No. 227

The structure in extended XYZ format:
```
4
Lattice="4.364 0.000 0.000 2.182 3.779 0.000 2.182 1.260 3.563" Properties=species:S:1:pos:R:3 pbc="T T T"
Mo 0.000 0.000 0.000
Mo 2.182 1.260 0.891
Al 6.545 3.779 2.672
Al 4.364 2.519 1.781
```